No. 1
LiNdDyCr: optimized geometry, GGA-PBE.

Unit cell a=7.303 b=7.303 c=7.303 alpha=90.00 beta=90.00 gamma=90.00
Space group F-43m (No. 216)
Symmetry-distinct sites (fractional):
Li  0.000  0.000  0.000 (multiplicity 4)
Nd  0.250  0.250  0.250 (multiplicity 4)
Dy  0.250  0.250  0.750 (multiplicity 4)
Cr  0.000  0.000  0.500 (multiplicity 4)

- Theoretical density: 6.236 g/cm3
- Calculated formation energy: 0.199 eV per atom

No. 2
Pd2PtBr6: optimized geometry, GGA-PBE.

Unit cell a=13.618 b=12.344 c=8.747 alpha=90.00 beta=122.53 gamma=90.00
Space group C2/c (No. 15)
Symmetry-distinct sites (fractional):
Pd  0.094  0.121  0.458 (multiplicity 8)
Pt  0.000  0.324  0.250 (multiplicity 4)
Br  0.060  0.303  0.571 (multiplicity 8)
Br  0.112  0.032  0.218 (multiplicity 8)
Br  0.192  0.369  0.301 (multiplicity 8)

- Theoretical density: 4.754 g/cm3
- Final energy: -3.065 eV per atom

No. 3
Tm2MgAg: optimized geometry, GGA-PBE.

Unit cell a=3.686 b=3.686 c=7.230 alpha=90.00 beta=90.00 gamma=90.00
Space group P4/mmm (No. 123)
Symmetry-distinct sites (fractional):
Tm  0.000  0.000  0.239 (multiplicity 2)
Mg  0.500  0.500  0.500 (multiplicity 1)
Ag  0.500  0.500  0.000 (multiplicity 1)

- Theoretical density: 7.947 g/cm3
- Relative energy among the computed polymorphs: 0 meV per atom
- Calculated formation energy: -0.186 eV per atom